Entry 1:
The following is a DFT calculation (PBE) of crystalline SmTlB at its relaxed geometry.

## Properties
crystal system	cubic
DFT total energy	-3.65	eV per atom
total magnetic moment	0.000	μB per atom

a = 4.7029 Å, b = 4.7029 Å, c = 4.7029 Å
α = 60.00°, β = 60.00°, γ = 60.00°
Atoms (fractional coordinates):
Sm1 0.0000 0.0000 0.0000
Tl1 0.7500 0.7500 0.7500
B1 0.5000 0.5000 0.5000

Entry 2:
The following is a DFT calculation (PBE) of crystalline RbCd2Bi2 at its relaxed geometry.

## Properties
crystal system	tetragonal
DFT total energy	-2.37	eV per atom

a = 7.9345 Å, b = 7.9345 Å, c = 7.9345 Å
α = 144.27°, β = 144.27°, γ = 51.42°
Atoms (fractional coordinates):
Rb1 0.0000 0.0000 0.0000
Cd1 0.2500 0.7500 0.5000
Cd2 0.7500 0.2500 0.5000
Bi1 0.3787 0.3787 0.0000
Bi2 0.6213 0.6213 0.0000

Entry 3:
The following is a DFT calculation (PBE) of crystalline Y2TmCo2B2As3 at its relaxed geometry.

## Properties
crystal system	tetragonal
DFT total energy	-6.66	eV per atom
total magnetic moment	0.000	μB per atom

a = 11.6409 Å, b = 11.6409 Å, c = 11.6409 Å
α = 160.69°, β = 160.69°, γ = 27.44°
Atoms (fractional coordinates):
Y1 0.1431 0.1431 0.0000
Y2 0.8569 0.8569 0.0000
Tm1 0.5000 0.5000 0.0000
Co1 0.2500 0.7500 0.5000
Co2 0.7500 0.2500 0.5000
B1 0.2823 0.2823 0.0000
B2 0.7177 0.7177 0.0000
As1 0.0000 0.0000 0.0000
As2 0.3764 0.3764 0.0000
As3 0.6236 0.6236 0.0000

Entry 4:
The following is a DFT calculation (PBE) of crystalline Sm2PtO4 at its relaxed geometry.

## Properties
crystal system	cubic
DFT total energy	-7.04	eV per atom
total magnetic moment	0.286	μB per atom

a = 6.8493 Å, b = 6.8493 Å, c = 6.8493 Å
α = 60.00°, β = 60.00°, γ = 60.00°
Atoms (fractional coordinates):
Sm1 0.0000 0.0000 0.0000
Sm2 0.0000 0.0000 0.5000
Sm3 0.0000 0.5000 0.0000
Sm4 0.5000 0.0000 0.0000
Pt1 0.3750 0.3750 0.3750
Pt2 0.6250 0.6250 0.6250
O1 0.2217 0.7594 0.7594
O2 0.2406 0.2406 0.2406
O3 0.2406 0.2406 0.7783
O4 0.2406 0.7783 0.2406
O5 0.7594 0.2217 0.7594
O6 0.7594 0.7594 0.2217
O7 0.7594 0.7594 0.7594
O8 0.7783 0.2406 0.2406

Entry 5:
The following is a DFT calculation (PBE) of crystalline DyIrCl6 at its relaxed geometry.

## Properties
crystal system	monoclinic
DFT total energy	-4.42	eV per atom
total magnetic moment	0.000	μB per atom

a = 6.3329 Å, b = 6.3329 Å, c = 6.4532 Å
α = 99.49°, β = 99.49°, γ = 119.87°
Atoms (fractional coordinates):
Dy1 0.0000 0.0000 0.0000
Ir1 0.6672 0.3328 0.0000
Cl1 0.0461 0.4127 0.2345
Cl2 0.2895 0.2565 0.7658
Cl3 0.4442 0.1091 0.2325
Cl4 0.5873 0.9539 0.7655
Cl5 0.7435 0.7105 0.2342
Cl6 0.8909 0.5558 0.7675

Entry 6:
The following is a DFT calculation (PBE) of crystalline AuI2 at its relaxed geometry.

## Properties
crystal system	tetragonal
DFT total energy	-2.07	eV per atom

a = 4.1999 Å, b = 4.1999 Å, c = 12.7434 Å
α = 90.00°, β = 90.00°, γ = 90.00°
Atoms (fractional coordinates):
Au1 0.2500 0.7500 0.2500
Au2 0.7500 0.2500 0.7500
I1 0.2500 0.2500 0.1127
I2 0.2500 0.2500 0.6127
I3 0.7500 0.7500 0.3873
I4 0.7500 0.7500 0.8873